DyEr2Al (PBE, relaxed); size of the total moment = 0.0003 μB/atom; distance to the lowest polymorph of the same formula = 0.000 eV/atom
1.0
3.3877 -5.8780 0.0000
3.3877 5.8780 0.0000
0.0000 0.0000 5.2744
Dy Er Al
2 4 2
direct
0.1746 0.8254 0.7500
0.8254 0.1746 0.2500
0.1747 0.3483 0.7500
0.3483 0.1747 0.2500
0.6517 0.8253 0.7500
0.8253 0.6517 0.2500
0.3342 0.6658 0.2500
0.6658 0.3342 0.7500

Gd2DyErAl2 (PBE, relaxed); size of the total moment = 0.0449 μB/atom
1.0
5.2536 0.0000 0.0000
-2.6268 4.5497 0.0000
0.0000 0.0000 6.6602
Gd Dy Er Al
2 1 1 2
direct
0.0000 0.0000 0.2488
0.0000 0.0000 0.7512
0.3333 0.6667 0.5000
0.6667 0.3333 0.0000
0.3333 0.6667 0.0000
0.6667 0.3333 0.5000

| no. | final energy (eV/atom) |
| --- | --- |
| 1 | -4.57 |
| 2 | -4.59 |